# 1
Material: NdZrZn17
Method: DFT, PBE
State: optimized geometry

Raw total energy (Ha/atom): -0.075
Space-group type: R3m
Calculated density (g/cm³): 7.4
ΔH_f (0 K) (eV/f.u.): -3.6

Cell lengths 6.761, 6.761, 6.761 Å; angles 82.76, 82.76, 82.76 degrees
Fractional coordinates of all 19 atoms:
Nd  0.000  0.000  0.000
Zr  0.666  0.666  0.666
Zn  0.035  0.339  0.631
Zn  0.035  0.631  0.339
Zn  0.188  0.684  0.684
Zn  0.241  0.241  0.241
Zn  0.329  0.329  0.842
Zn  0.329  0.842  0.329
Zn  0.339  0.035  0.631
Zn  0.339  0.631  0.035
Zn  0.440  0.440  0.440
Zn  0.510  0.975  0.975
Zn  0.631  0.035  0.339
Zn  0.631  0.339  0.035
Zn  0.684  0.188  0.684
Zn  0.684  0.684  0.188
Zn  0.842  0.329  0.329
Zn  0.975  0.510  0.975
Zn  0.975  0.975  0.510

=====

# 2
Material: NdZr2Zn9
Method: DFT, PBE
State: optimized geometry

Raw total energy (Ha/atom): -0.113
Space-group type: R-3m
Calculated density (g/cm³): 7.3
ΔH_f (0 K) (eV/f.u.): -3.6

Cell lengths 9.000, 9.000, 9.000 Å; angles 34.43, 34.43, 34.43 degrees
Fractional coordinates of all 12 atoms:
Nd  0.000  0.000  0.000
Zr  0.144  0.144  0.144
Zr  0.856  0.856  0.856
Zn  0.078  0.590  0.590
Zn  0.336  0.336  0.336
Zn  0.410  0.410  0.922
Zn  0.410  0.922  0.410
Zn  0.500  0.500  0.500
Zn  0.590  0.078  0.590
Zn  0.590  0.590  0.078
Zn  0.664  0.664  0.664
Zn  0.922  0.410  0.410

=====

# 3
Material: NdZrZn2
Method: DFT, PBE
State: optimized geometry

Raw total energy (Ha/atom): -0.152
Energy above the lowest structure with this stoichiometry (meV/atom): 70
Space-group type: Fm-3m
Calculated density (g/cm³): 7.0
ΔH_f (0 K) (eV/f.u.): -0.7

Cell lengths 7.021, 7.021, 7.021 Å; angles 90.00, 90.00, 90.00 degrees
Fractional coordinates of all 16 atoms:
Nd  0.000  0.000  0.000
Nd  0.000  0.500  0.500
Nd  0.500  0.000  0.500
Nd  0.500  0.500  0.000
Zr  0.000  0.000  0.500
Zr  0.000  0.500  0.000
Zr  0.500  0.000  0.000
Zr  0.500  0.500  0.500
Zn  0.250  0.250  0.250
Zn  0.250  0.250  0.750
Zn  0.250  0.750  0.250
Zn  0.250  0.750  0.750
Zn  0.750  0.250  0.250
Zn  0.750  0.250  0.750
Zn  0.750  0.750  0.250
Zn  0.750  0.750  0.750

=====

# 4
Material: NdZr4Zn5
Method: DFT, PBE
State: optimized geometry

Raw total energy (Ha/atom): -0.176
Space-group type: P4/mmm
Calculated density (g/cm³): 7.0
ΔH_f (0 K) (eV/f.u.): -2.6

Cell lengths 3.402, 3.402, 17.085 Å; angles 90.00, 90.00, 90.00 degrees
Fractional coordinates of all 10 atoms:
Nd  0.000  0.000  0.000
Zr  0.000  0.000  0.212
Zr  0.000  0.000  0.404
Zr  0.000  0.000  0.596
Zr  0.000  0.000  0.788
Zn  0.500  0.500  0.122
Zn  0.500  0.500  0.308
Zn  0.500  0.500  0.500
Zn  0.500  0.500  0.692
Zn  0.500  0.500  0.878